Entry 1:
VASP calculation (PBE-GGA) on crystalline CdAuSe2 at its relaxed geometry.

Lattice parameters (Å, degrees): 3.5576 4.5534 10.8349 90.00 90.00 90.00
With the nearest neighbours (Å) after each atom.
Space group Cmmm (No. 65)
Asymmetric unit:
Cd  0.0000  0.0000  0.0000  4 Cd 2.89
Au  0.0000  0.0000  0.5000  4 Au 2.89, 4 Se 2.98
Se  0.0000  0.5000  0.2789  4 Se 2.89, 2 Au 2.98

Properties
Raw formation energy = 0.285 eV per atom



Entry 2:
VASP calculation (PBE-GGA) on crystalline CdAuSe at its relaxed geometry.

Lattice parameters (Å, degrees): 3.8734 3.8734 8.4896 90.00 90.00 90.00
With the nearest neighbours (Å) after each atom.
Space group I4mm (No. 107)
Asymmetric unit:
Cd  0.0000  0.0000  0.0000  5 Au 2.86-3.07, 5 Se 2.90-3.05
Au  0.0000  0.0000  0.6637  1 Se 2.73, 1 Cd 2.86
Se  0.0000  0.0000  0.3416  1 Au 2.73, 5 Cd 2.90-3.05

Properties
Raw formation energy = 0.025 eV per atom
ΔE to the lowest computed polymorph = 0.0937 eV per atom



Entry 3:
VASP calculation (PBE-GGA) on crystalline CdAuSe2 at its relaxed geometry.

Lattice parameters (Å, degrees): 5.5995 7.8084 3.9685 90.00 90.00 90.00
With the nearest neighbours (Å) after each atom.
Space group Cmmm (No. 65)
Asymmetric unit:
Cd  0.0000  0.0000  0.0000  2 Au 2.80, 8 Se 3.12
Au  0.0000  0.5000  0.0000  2 Cd 2.80, 8 Se 3.12
Se  0.2500  0.2500  0.5000  2 Se 2.80, 4 Cd 3.12, 4 Au 3.12

Properties
Raw formation energy = 0.144 eV per atom



Entry 4:
VASP calculation (PBE-GGA) on crystalline CdAuSe2 at its relaxed geometry.

Lattice parameters (Å, degrees): 3.8844 4.2324 11.0311 90.00 90.00 90.00
With the nearest neighbours (Å) after each atom.
Space group Immm (No. 71)
Asymmetric unit:
Cd  0.0000  0.0000  0.0000  4 Au 2.87, 2 Se 2.93
Au  0.0000  0.0000  0.5000  2 Se 2.58, 4 Cd 2.87
Se  0.0000  0.0000  0.2658  1 Au 2.58, 4 Se 2.89

Properties
Raw formation energy = -0.003 eV per atom



Entry 5:
VASP calculation (PBE-GGA) on crystalline CdAuSe2 at its relaxed geometry.

Lattice parameters (Å, degrees): 3.9590 3.9590 5.6418 90.00 90.00 90.00
With the nearest neighbours (Å) after each atom.
Space group P4/mmm (No. 123)
Asymmetric unit:
Cd  0.0000  0.0000  0.0000  6 Se 2.80-2.82
Au  0.5000  0.5000  0.5000  6 Se 2.80-2.82
Se  0.0000  0.0000  0.5000  4 Au 2.80, 2 Cd 2.82
Se  0.5000  0.5000  0.0000  4 Cd 2.80, 2 Au 2.82

Properties
Raw formation energy = -0.192 eV per atom



Entry 6:
VASP calculation (PBE-GGA) on crystalline CdAu2Se2 at its relaxed geometry.

Lattice parameters (Å, degrees): 7.5934 7.5934 3.8830 90.00 90.00 90.00
With the nearest neighbours (Å) after each atom.
Space group P4/mbm (No. 127)
Asymmetric unit:
Cd  0.0000  0.0000  0.0000  4 Se 2.75
Au  0.1284  0.3716  0.5000  2 Se 2.72, 1 Au 2.76
Se  0.1936  0.6936  0.0000  2 Au 2.72, 2 Cd 2.75

Properties
Raw formation energy = 0.111 eV per atom



Entry 7:
VASP calculation (PBE-GGA) on crystalline Cd2AuSe2 at its relaxed geometry.

Lattice parameters (Å, degrees): 7.7020 7.7020 4.1218 90.00 90.00 90.00
With the nearest neighbours (Å) after each atom.
Space group P4/mbm (No. 127)
Asymmetric unit:
Cd  0.1270  0.3730  0.0000  2 Se 2.72, 1 Cd 2.77
Au  0.0000  0.0000  0.5000  4 Se 2.76
Se  0.2105  0.7105  0.5000  2 Cd 2.72, 2 Au 2.76

Properties
Raw formation energy = -0.093 eV per atom



Entry 8:
VASP calculation (PBE-GGA) on crystalline CdAuSe2 at its relaxed geometry.

Lattice parameters (Å, degrees): 6.0829 6.0829 12.1261 90.00 90.00 90.00
With the nearest neighbours (Å) after each atom.
Space group I-42d (No. 122)
Asymmetric unit:
Cd  0.0000  0.0000  0.0000  4 Se 2.69
Au  0.0000  0.0000  0.5000  4 Se 2.58
Se  0.2348  0.2500  0.6250  2 Au 2.58, 2 Cd 2.69

Properties
Raw formation energy = -0.204 eV per atom



Number 1: energy -2.51 eV per atom. Number 2: energy -2.53 eV per atom. Number 3: energy -2.65 eV per atom. Number 4: energy -2.79 eV per atom. Number 5: energy -2.98 eV per atom. Number 6: energy -2.78 eV per atom. Number 7: energy -2.51 eV per atom. Number 8: energy -2.99 eV per atom.